MnMo2As | PBE | optimized geometry

## Properties
Final energy in eV/atom: -8.717
Symmetry: P2/m (10)
Energy of formation from the pure elements in eV per atom: 0.15

Unit cell a=2.773 b=4.109 c=5.356 alpha=90.00 beta=103.67 gamma=90.00
Atoms (fractional coordinates):
Mn  0.000  0.000  0.000
Mo  0.275  0.500  0.756
Mo  0.725  0.500  0.244
As  0.500  0.000  0.500